ScCr3O9: optimized geometry, GGA+U.

Summary:
The value obtained for the uncorrected energy is -189.94 eV for the cell shown.

Lattice parameters (Å, degrees): 8.0764 8.0764 10.4917 121.97 121.97 52.33
With the nearest neighbours (Å) after each atom.
Positions (direct):
Sc 0.2380 0.7620 0.5000  6 O 2.10-2.14
Sc 0.7620 0.2380 0.0000  6 O 2.10-2.14
Cr 0.0405 0.2385 0.8264  4 O 1.66-1.79
Cr 0.2385 0.0405 0.3264  4 O 1.66-1.79
Cr 0.2823 0.4457 0.6720  4 O 1.68-1.77
Cr 0.4457 0.2823 0.1720  4 O 1.68-1.77
Cr 0.6922 0.7893 0.2330  4 O 1.67-1.79
Cr 0.7893 0.6922 0.7330  4 O 1.67-1.79
O 0.0062 0.5434 0.6503  2 Cr 1.77-1.79
O 0.0711 0.1547 0.1820  1 Cr 1.66
O 0.1421 0.9420 0.3627  1 Cr 1.67
O 0.1547 0.0711 0.6820  1 Cr 1.66
O 0.2143 0.3453 0.0056  2 Cr 1.77-1.79
O 0.2952 0.6340 0.6571  1 Cr 1.68
O 0.3453 0.2143 0.5056  2 Cr 1.77-1.79
O 0.3573 0.4574 0.3310  1 Cr 1.68
O 0.4574 0.3573 0.8310  1 Cr 1.68
O 0.4962 0.8291 0.2895  2 Cr 1.77-1.79
O 0.5434 0.0062 0.1503  2 Cr 1.77-1.79
O 0.5484 0.7445 0.5901  1 Cr 1.67
O 0.6340 0.2952 0.1571  1 Cr 1.68
O 0.7445 0.5484 0.0901  1 Cr 1.67
O 0.8093 0.9084 0.8884  1 Cr 1.67
O 0.8291 0.4962 0.7895  2 Cr 1.77-1.79
O 0.9084 0.8093 0.3884  1 Cr 1.67
O 0.9420 0.1421 0.8627  1 Cr 1.67